(1)
8
Lattice="6.986 0.000 0.000 0.000 3.869 0.000 -0.158 0.000 8.949" Properties=species:S:1:pos:R:3 comment="PBE HfScTe2, optimized geometry" de_polymorph_mev_per_atom=35.5 e_form_raw_ev_per_fu=-2.66 energy_ev_per_atom=-6.3072 pbc="T T T"
Hf 0.000 0.000 0.000
Hf 1.883 1.934 7.489
Sc 2.235 1.934 1.741
Sc 4.396 0.000 6.442
Te 0.232 0.000 6.134
Te 0.444 0.000 2.741
Te 3.366 1.934 4.660
Te 4.544 1.934 8.799

(2)
20
Lattice="4.813 2.779 3.767 -4.813 2.779 3.767 0.000 -5.558 3.767" Properties=species:S:1:pos:R:3 comment="PBE Dy3ErO6, optimized geometry" e_form_raw_ev_per_fu=-35.86 energy_ev_per_atom=-8.3981 pbc="T T T"
Dy -2.443 -2.452 5.168
Dy -3.345 0.890 6.132
Dy 0.902 -3.342 6.132
Dy -0.902 3.342 5.168
Dy 3.345 -0.890 5.168
Dy 2.443 2.452 6.132
Er 0.000 0.000 0.000
Er 0.000 0.000 5.650
O -4.181 -1.217 6.081
O -1.036 -4.229 5.219
O -1.964 -0.220 4.554
O -3.145 3.012 5.219
O -0.791 -1.811 6.745
O 1.173 -1.591 4.554
O -1.173 1.591 6.745
O 0.791 1.811 4.554
O 3.145 -3.012 6.081
O 1.964 0.220 6.745
O 1.036 4.229 6.081
O 4.181 1.217 5.219

(3)
18
Lattice="-4.553 4.553 7.648 4.553 -4.553 7.648 4.553 4.553 -7.648" Properties=species:S:1:pos:R:3 comment="PBE CsRb2CdCl5, optimized geometry" e_form_raw_ev_per_fu=-15.18 energy_ev_per_atom=-3.1246 pbc="T T T"
Cs 0.000 0.000 3.824
Cs 0.000 0.000 11.471
Rb 6.059 1.506 0.000
Rb 1.506 3.047 0.000
Rb 3.047 1.506 7.648
Rb -1.506 3.047 7.648
Cd 4.553 0.000 3.824
Cd 0.000 4.553 3.824
Cl 0.000 0.000 0.000
Cl 3.202 1.350 -2.234
Cl 3.202 -1.350 5.413
Cl 3.202 1.350 2.234
Cl 3.202 -1.350 9.882
Cl 0.000 0.000 7.648
Cl 1.350 5.903 -2.234
Cl 1.350 3.202 5.413
Cl 1.350 5.903 2.234
Cl 1.350 3.202 9.882

(4)
11
Lattice="-1.674 3.851 6.654 1.674 -3.851 6.654 1.674 3.851 -6.654" Properties=species:S:1:pos:R:3 comment="PBE Ti3V4Ge4, optimized geometry" formation_energy_ev_per_atom=-0.378 energy_ev_per_atom=-7.5263 pbc="T T T"
Ti 0.000 0.000 0.000
Ti 1.674 0.000 5.119
Ti 0.000 3.851 1.535
V 1.674 1.627 -2.383
V 1.674 1.627 2.383
V 0.000 2.224 4.271
V 0.000 2.224 9.036
Ge 0.000 0.000 3.051
Ge 1.674 2.300 0.000
Ge 0.000 1.551 6.654
Ge 0.000 0.000 10.257

(5)
10
Lattice="7.738 0.000 0.000 0.000 4.593 0.000 -3.006 0.000 8.535" Properties=species:S:1:pos:R:3 comment="PBE BaTlBrF2, optimized geometry" e_form_raw_ev_per_fu=-12.81 energy_ev_per_atom=-4.5022 pbc="T T T"
Ba 0.173 1.148 3.661
Ba 4.560 3.445 4.874
Tl -1.322 1.148 7.999
Tl 6.055 3.445 0.536
Br 1.390 3.445 5.875
Br 3.343 1.148 2.660
F -0.310 1.148 1.130
F -1.043 3.445 3.305
F 5.776 1.148 5.229
F 5.042 3.445 7.405

(6)
22
Lattice="2.174 -4.133 0.000 2.174 4.133 0.000 0.000 0.000 18.652" Properties=species:S:1:pos:R:3 comment="PBE MnIr4Rh6, optimized geometry" formation_energy_ev_per_atom=0.187 energy_ev_per_atom=-7.8784 pbc="T T T"
Mn 2.174 2.775 13.989
Mn 2.174 -2.775 4.663
Ir 2.174 2.644 0.514
Ir 2.174 2.644 8.812
Ir 2.174 0.916 2.512
Ir 2.174 0.916 6.814
Ir 2.174 -0.916 11.838
Ir 2.174 -0.916 16.140
Ir 2.174 -2.644 9.840
Ir 2.174 -2.644 18.138
Rh 2.174 3.495 3.068
Rh 2.174 3.495 6.258
Rh 2.174 1.766 11.389
Rh 2.174 1.766 16.589
Rh 2.174 0.329 13.989
Rh 2.174 0.000 0.000
Rh 2.174 0.000 9.326
Rh 2.174 -0.329 4.663
Rh 2.174 -1.766 2.063
Rh 2.174 -1.766 7.263
Rh 2.174 -3.495 12.394
Rh 2.174 -3.495 15.584

(7)
10
Lattice="7.738 0.000 0.000 0.000 7.738 0.000 0.000 0.000 4.402" Properties=species:S:1:pos:R:3 comment="PBE CaPm2Ge2, optimized geometry" formation_energy_ev_per_atom=-0.760 energy_ev_per_atom=-4.9079 pbc="T T T"
Ca 0.000 0.000 0.000
Ca 3.869 3.869 0.000
Pm 1.369 2.500 2.201
Pm 2.500 6.369 2.201
Pm 5.238 1.369 2.201
Pm 6.369 5.238 2.201
Ge 0.910 4.779 0.000
Ge 2.959 0.910 0.000
Ge 4.779 6.828 0.000
Ge 6.828 2.959 0.000

(8)
5
Lattice="5.257 0.000 0.000 0.000 5.257 0.000 0.000 0.000 5.428" Properties=species:S:1:pos:R:3 comment="PBE RbScP2Cl, optimized geometry" de_polymorph_mev_per_atom=1609.9 e_form_raw_ev_per_fu=4.99 energy_ev_per_atom=-2.9947 pbc="T T T"
Rb 0.000 0.000 0.000
Sc 2.629 2.629 2.714
P 0.000 2.629 0.000
P 2.629 0.000 0.000
Cl 0.000 0.000 2.714

(9)
4
Lattice="3.034 0.000 0.000 0.000 4.654 0.000 -1.380 0.000 5.310" Properties=species:S:1:pos:R:3 comment="PBE Mg2ZrRh, optimized geometry" formation_energy_ev_per_atom=-0.218 energy_ev_per_atom=-4.9898 pbc="T T T"
Mg -0.043 0.000 1.448
Mg 1.697 0.000 3.862
Zr 1.517 2.327 0.000
Rh 0.827 2.327 2.655

(10)
4
Lattice="1.465 0.846 8.435 -1.465 0.846 8.435 0.000 -1.692 8.435" Properties=species:S:1:pos:R:3 comment="PBE Hf2ReO, optimized geometry" e_form_raw_ev_per_fu=-2.73 energy_ev_per_atom=-10.0101 pbc="T T T"
Hf 0.000 0.000 2.641
Hf 0.000 0.000 22.664
Re 0.000 0.000 0.000
O 0.000 0.000 12.653

(11)
18
Lattice="6.867 0.000 0.000 0.000 6.885 0.000 -2.284 0.000 6.370" Properties=species:S:1:pos:R:3 comment="PBE Np2Si4Mo3, optimized geometry" e_form_raw_ev_per_fu=-3.59 energy_ev_per_atom=-9.2949 pbc="T T T"
Np 1.126 1.106 0.355
Np -0.016 2.337 3.540
Np 4.600 4.548 2.830
Np 3.458 5.779 6.015
Si -1.372 3.744 5.558
Si -0.230 6.584 2.373
Si 1.448 0.917 5.522
Si 2.590 2.525 2.337
Si 1.994 4.360 4.033
Si 3.136 5.968 0.848
Si 4.813 0.301 3.997
Si 5.955 3.142 0.812
Mo 1.133 4.575 1.610
Mo -0.009 5.753 4.795
Mo 2.292 0.000 3.185
Mo 3.434 3.443 0.000
Mo 4.592 1.132 1.575
Mo 3.450 2.310 4.760

(12)
4
Lattice="0.000 2.933 2.933 2.933 0.000 2.933 2.933 2.933 0.000" Properties=species:S:1:pos:R:3 comment="PBE MnFe2Rh, optimized geometry" formation_energy_ev_per_atom=0.037 energy_ev_per_atom=-8.3248 pbc="T T T"
Mn 0.000 0.000 0.000
Fe 2.933 2.933 2.933
Fe 4.399 4.399 4.399
Rh 1.466 1.466 1.466